[1]
Zr2OsPt (PBE-GGA, relaxed); ΔE_f = -0.4423 eV per atom; magnetization = 0.000 μB/atom; N(E_F) = 2.72 states/eV per cell; crystal system = tetragonal
1.0
3.736 0.000 0.000
0.000 3.736 0.000
0.000 0.000 5.672
Zr Os Pt
2 1 1
Cartesian
0.000 0.000 0.000 Zr
1.868 1.868 2.037 Zr
0.000 0.000 2.684 Os
1.868 1.868 4.811 Pt

---

[2]
TcRu2Rh (PBE-GGA, relaxed); ΔE_f = 0.0330 eV per atom; magnetization = 0.000 μB/atom; N(E_F) = 8.97 states/eV per cell; crystal system = monoclinic; excess energy over the best structure of this formula in the dataset = 0.108 eV/atom
1.0
9.012 0.000 0.000
0.000 2.703 0.000
-0.803 0.000 4.642
Tc Ru Rh
2 4 2
Cartesian
0.000 0.000 0.000 Tc
4.506 1.352 0.000 Tc
2.053 1.352 1.155 Ru
4.088 0.000 2.271 Ru
6.559 0.000 1.155 Ru
8.594 1.352 2.271 Ru
1.648 0.000 3.477 Rh
6.154 1.352 3.477 Rh

---

Number 1: energy -9.03 eV per atom. Number 2: energy -9.03 eV per atom.